SrSiTe2 | Alexandria via LeMat-Bulk | meta-GGA SCAN | PBEsol geometry; magnetic moment = 0.00 μB per formula unit; volume = 29.122 Å³ per atom; SG = Cm (8); formation energy from raw total energies = -0.773 eV per atom; E_tot = -109.9 eV/cell
1.0
-0.236 1.767 -3.851
-3.346 -2.844 -1.100
-3.742 3.281 4.073
Te Sr Si
2 1 1
Direct
0.998 0.183 0.997 Te
0.289 0.623 0.578 Te
0.712 0.110 0.424 Sr
0.500 0.584 0.001 Si

=====

TiGa3Cu | Alexandria via LeMat-Bulk | meta-GGA SCAN | PBEsol geometry; magnetic moment = 1.41 μB per formula unit; N(E_F) = 3.3 states/eV/f.u.; volume = 17.937 Å³ per atom; SG = Pm-3m (221); ΔH_f (0 K) = 1.83 eV/f.u.; E_tot = -78.4 eV/cell
1.0
4.476 0.000 0.000
0.000 4.476 0.000
0.000 0.000 4.476
Ga Cu Ti
3 1 1
Direct
0.000 0.000 0.500 Ga
0.000 0.500 0.000 Ga
0.500 0.000 0.000 Ga
0.000 0.000 0.000 Cu
0.500 0.500 0.500 Ti

=====

ScAl2Tc | Alexandria via LeMat-Bulk | meta-GGA SCAN | PBEsol geometry; magnetic moment = 0.00 μB per formula unit; N(E_F) = 2.4 states/eV/f.u.; volume = 16.830 Å³ per atom; SG = R-3m (166); ΔH_f (0 K) = -0.64 eV/f.u.; E above lowest polymorph = 1.244 eV per formula unit; E_tot = -65.4 eV/cell
1.0
2.948 0.000 0.000
1.474 2.553 0.000
1.474 0.851 8.943
Tc Al Sc
1 2 1
Direct
0.000 0.000 0.000 Tc
0.740 0.740 0.781 Al
0.260 0.260 0.219 Al
0.500 0.500 0.500 Sc

=====

> Which of these has the lowest volume?

ScAl2Tc

=====

> What is the magnetic moment in the third record?

0.00 μB per formula unit

=====

> Which value of magnetic moment does entry 2 give?

1.41 μB per formula unit